Model 1:
# MnCuRe2 GGA-PBE optimized geometry
data_MnCuRe2
_space_group_name_H-M_alt 'I m m m'
_space_group_IT_number 71
_space_group_name_Hall '-I 2 2'
_cell_length_a 3.146
_cell_length_b 4.172
_cell_length_c 8.377
_cell_angle_alpha 90.00
_cell_angle_beta 90.00
_cell_angle_gamma 90.00
loop_
_atom_site_label
_atom_site_type_symbol
_atom_site_fract_x
_atom_site_fract_y
_atom_site_fract_z
Mn1 Mn 0.000 0.000 0.000
Cu1 Cu 0.000 0.000 0.500
Re1 Re 0.000 0.500 0.254
# Volume (Å³/cell): 109.9
# D(E_F) (states/eV/f.u.): 3.20

=====

Model 2:
# MnCuRe2 GGA-PBE optimized geometry
data_MnCuRe2
_space_group_name_H-M_alt 'P 4/m m m'
_space_group_IT_number 123
_space_group_name_Hall '-P 4 2'
_cell_length_a 3.730
_cell_length_b 3.730
_cell_length_c 3.897
_cell_angle_alpha 90.00
_cell_angle_beta 90.00
_cell_angle_gamma 90.00
loop_
_atom_site_label
_atom_site_type_symbol
_atom_site_fract_x
_atom_site_fract_y
_atom_site_fract_z
Mn1 Mn 0.000 0.000 0.000
Cu1 Cu 0.500 0.500 0.000
Re1 Re 0.000 0.500 0.500
# Volume (Å³/cell): 54.2
# D(E_F) (states/eV/f.u.): 3.44

=====

Stability ranking, top and bottom: model 2 is the most stable and model 1 is the least stable.

=====

Model 1:
# MnCuRe2 GGA-PBE optimized geometry
data_MnCuRe2
_space_group_name_H-M_alt 'C m m m'
_space_group_IT_number 65
_space_group_name_Hall '-C 2 2'
_cell_length_a 3.174
_cell_length_b 4.122
_cell_length_c 8.362
_cell_angle_alpha 90.00
_cell_angle_beta 90.00
_cell_angle_gamma 90.00
loop_
_atom_site_label
_atom_site_type_symbol
_atom_site_fract_x
_atom_site_fract_y
_atom_site_fract_z
Mn1 Mn 0.000 0.000 0.000
Cu1 Cu 0.000 0.000 0.500
Re1 Re 0.000 0.500 0.244
# Volume (Å³/cell): 109.4
# D(E_F) (states/eV/f.u.): 2.68

=====

Model 2:
# MnCuRe2 GGA-PBE optimized geometry
data_MnCuRe2
_space_group_name_H-M_alt 'P 1 m 1'
_space_group_IT_number 6
_space_group_name_Hall 'P -2y'
_cell_length_a 2.597
_cell_length_b 4.263
_cell_length_c 4.980
_cell_angle_alpha 90.00
_cell_angle_beta 99.14
_cell_angle_gamma 90.00
loop_
_atom_site_label
_atom_site_type_symbol
_atom_site_fract_x
_atom_site_fract_y
_atom_site_fract_z
Mn1 Mn 0.000 0.000 0.000
Cu1 Cu 0.987 0.500 0.749
Re1 Re 0.403 0.000 0.513
Re2 Re 0.628 0.500 0.235
# Volume (Å³/cell): 54.4
# D(E_F) (states/eV/f.u.): 2.49

=====

Model 3:
# MnCuRe2 GGA-PBE optimized geometry
data_MnCuRe2
_space_group_name_H-M_alt 'F m -3 m'
_space_group_IT_number 225
_space_group_name_Hall '-F 4 2 3'
_cell_length_a 5.972
_cell_length_b 5.972
_cell_length_c 5.972
_cell_angle_alpha 90.00
_cell_angle_beta 90.00
_cell_angle_gamma 90.00
loop_
_atom_site_label
_atom_site_type_symbol
_atom_site_fract_x
_atom_site_fract_y
_atom_site_fract_z
Mn1 Mn 0.000 0.000 0.000
Cu1 Cu 0.000 0.000 0.500
Re1 Re 0.250 0.250 0.250
# Volume (Å³/cell): 213.0
# D(E_F) (states/eV/f.u.): 4.62

=====

Model 4:
# MnCuRe2 GGA-PBE optimized geometry
data_MnCuRe2
_space_group_name_H-M_alt 'P 4 m m'
_space_group_IT_number 99
_space_group_name_Hall 'P 4 -2'
_cell_length_a 3.116
_cell_length_b 3.116
_cell_length_c 5.678
_cell_angle_alpha 90.00
_cell_angle_beta 90.00
_cell_angle_gamma 90.00
loop_
_atom_site_label
_atom_site_type_symbol
_atom_site_fract_x
_atom_site_fract_y
_atom_site_fract_z
Mn1 Mn 0.000 0.000 0.000
Cu1 Cu 0.500 0.500 0.791
Re1 Re 0.000 0.000 0.530
Re2 Re 0.500 0.500 0.276
# Volume (Å³/cell): 55.1
# D(E_F) (states/eV/f.u.): 2.67

=====

Stability ranking, top and bottom: model 4 is the most stable and model 3 is the least stable.